Entry 1:
Entry from Alexandria via LeMat-Bulk: a PBEsol-optimized structure of PtWBr2 (meta-GGA SCAN).

Summary:
ΔE to the lowest computed polymorph: 333 meV per atom
Formation energy from raw total energies: 1.13 eV/atom
Size of the total moment: 1.11 μB per cell
Crystal system: monoclinic

Lattice parameters (Å, degrees): 3.0136 5.3271 5.3271 112.67 103.45 103.45
Each line ends with the local moment (μB).
Fractional coordinates of all 4 atoms:
Br1 0.0000 0.5000 0.0000  0.00
Br2 0.0000 0.0000 0.5000  0.00
W1 0.0000 0.5000 0.5000  0.90
Pt1 0.0000 0.0000 0.0000  0.01

***

Entry 2:
Entry from Alexandria via LeMat-Bulk: a PBEsol-optimized structure of Pt2WBr (meta-GGA SCAN).

Summary:
ΔE to the lowest computed polymorph: 909 meV per atom
Formation energy from raw total energies: 0.97 eV/atom
Size of the total moment: 0.00 μB per cell
Crystal system: cubic

Lattice parameters (Å, degrees): 4.5417 4.5417 4.5417 60.00 60.00 60.00
Fractional coordinates of all 4 atoms:
Br1 0.0000 0.0000 0.0000
W1 0.5000 0.5000 0.5000
Pt1 0.2500 0.2500 0.2500
Pt2 0.7500 0.7500 0.7500

***

Entry 3:
Entry from Alexandria via LeMat-Bulk: a PBEsol-optimized structure of PtWBr (meta-GGA SCAN).

Summary:
Formation energy from raw total energies: 0.44 eV/atom
Size of the total moment: 0.00 μB per cell
Crystal system: tetragonal

Lattice parameters (Å, degrees): 2.9623 2.9623 6.5499 103.07 103.07 90.00
Fractional coordinates of all 3 atoms:
Br1 0.9697 0.9697 0.9395
W1 0.3306 0.3306 0.6612
Pt1 0.6997 0.6997 0.3993

***

Entry 4:
Entry from Alexandria via LeMat-Bulk: a PBEsol-optimized structure of Pt2WBr (meta-GGA SCAN).

Summary:
ΔE to the lowest computed polymorph: 365 meV per atom
Formation energy from raw total energies: 0.42 eV/atom
Size of the total moment: 0.00 μB per cell
Crystal system: tetragonal

Lattice parameters (Å, degrees): 2.9307 2.9307 7.8312 90.00 90.00 90.00
Fractional coordinates of all 4 atoms:
Br1 0.5000 0.5000 0.7078
W1 0.0000 0.0000 0.4849
Pt1 0.0000 0.0000 0.0326
Pt2 0.5000 0.5000 0.2747

***

Entry 5:
Entry from Alexandria via LeMat-Bulk: a PBEsol-optimized structure of Pt2WBr (meta-GGA SCAN).

Summary:
ΔE to the lowest computed polymorph: 0 meV per atom
Formation energy from raw total energies: 0.06 eV/atom
Size of the total moment: 0.00 μB per cell
Crystal system: orthorhombic

Lattice parameters (Å, degrees): 2.8065 2.9381 8.3374 90.00 90.00 90.00
Fractional coordinates of all 4 atoms:
Br1 0.0000 0.5000 0.0000
W1 0.5000 0.5000 0.5000
Pt1 0.0000 0.0000 0.2860
Pt2 0.0000 0.0000 0.7140

***

Entry 6:
Entry from Alexandria via LeMat-Bulk: a PBEsol-optimized structure of YPtBr2 (meta-GGA SCAN).

Summary:
ΔE to the lowest computed polymorph: 74 meV per atom
Formation energy from raw total energies: -1.01 eV/atom
Size of the total moment: 0.00 μB per cell
Crystal system: tetragonal

Lattice parameters (Å, degrees): 3.6621 3.6621 7.3256 90.00 90.00 90.00
Fractional coordinates of all 4 atoms:
Y1 0.5000 0.5000 0.6984
Br1 0.0000 0.0000 0.9417
Br2 0.5000 0.5000 0.3266
Pt1 0.0000 0.0000 0.5333

***

Entry 7:
Entry from Alexandria via LeMat-Bulk: a PBEsol-optimized structure of YPtBr2 (meta-GGA SCAN).

Summary:
ΔE to the lowest computed polymorph: 0 meV per atom
Formation energy from raw total energies: -1.09 eV/atom
Size of the total moment: 0.00 μB per cell
Crystal system: monoclinic

Lattice parameters (Å, degrees): 3.6922 4.4272 6.9676 90.66 105.36 90.00
Fractional coordinates of all 4 atoms:
Y1 0.0000 0.5000 0.0000
Br1 0.3439 0.2799 0.6878
Br2 0.6561 0.7201 0.3122
Pt1 0.5000 0.0000 0.0000

***

Entry 8:
Entry from Alexandria via LeMat-Bulk: a PBEsol-optimized structure of YPt2Br2 (meta-GGA SCAN).

Summary:
Formation energy from raw total energies: -0.22 eV/atom
Size of the total moment: 0.79 μB per cell
Crystal system: tetragonal

Lattice parameters (Å, degrees): 4.2321 4.2321 6.7030 108.40 108.40 90.00
Each line ends with the local moment (μB).
Fractional coordinates of all 5 atoms:
Y1 0.0000 0.0000 0.0000  -0.03
Br1 0.2500 0.7500 0.5000  0.14
Br2 0.7500 0.2500 0.5000  0.14
Pt1 0.3954 0.3954 0.7907  0.27
Pt2 0.6046 0.6046 0.2093  0.27

***

Entry 9:
Entry from Alexandria via LeMat-Bulk: a PBEsol-optimized structure of YPt3Br (meta-GGA SCAN).

Summary:
Formation energy from raw total energies: 1.12 eV/atom
Size of the total moment: 0.00 μB per cell
Crystal system: cubic

Lattice parameters (Å, degrees): 5.0447 5.0447 5.0447 90.00 90.00 90.00
Fractional coordinates of all 5 atoms:
Y1 0.0000 0.0000 0.0000
Br1 0.5000 0.5000 0.5000
Pt1 0.0000 0.5000 0.0000
Pt2 0.0000 0.0000 0.5000
Pt3 0.5000 0.0000 0.0000

***

Entry 10:
Entry from Alexandria via LeMat-Bulk: a PBEsol-optimized structure of YPtBr2 (meta-GGA SCAN).

Summary:
ΔE to the lowest computed polymorph: 780 meV per atom
Formation energy from raw total energies: -0.31 eV/atom
Size of the total moment: 0.00 μB per cell
Crystal system: trigonal

Lattice parameters (Å, degrees): 3.4456 3.4456 9.0636 79.04 79.04 60.00
Fractional coordinates of all 4 atoms:
Y1 0.0000 0.0000 0.0000
Br1 0.2587 0.2587 0.2239
Br2 0.7413 0.7413 0.7761
Pt1 0.5000 0.5000 0.5000

***

Entry 11:
Entry from Alexandria via LeMat-Bulk: a PBEsol-optimized structure of Zn2PtBr (meta-GGA SCAN).

Summary:
ΔE to the lowest computed polymorph: 594 meV per atom
Formation energy from raw total energies: 0.28 eV/atom
Size of the total moment: 0.00 μB per cell
Crystal system: cubic

Lattice parameters (Å, degrees): 4.5624 4.5624 4.5624 60.00 60.00 60.00
Fractional coordinates of all 4 atoms:
Br1 0.0000 0.0000 0.0000
Pt1 0.5000 0.5000 0.5000
Zn1 0.2500 0.2500 0.2500
Zn2 0.7500 0.7500 0.7500

***

Entry 12:
Entry from Alexandria via LeMat-Bulk: a PBEsol-optimized structure of ZnPtBr2 (meta-GGA SCAN).

Summary:
ΔE to the lowest computed polymorph: 372 meV per atom
Formation energy from raw total energies: 0.16 eV/atom
Size of the total moment: 0.00 μB per cell
Crystal system: tetragonal

Lattice parameters (Å, degrees): 4.9008 4.9008 4.9008 96.30 116.43 116.43
Fractional coordinates of all 4 atoms:
Br1 0.5000 0.5000 0.0000
Br2 0.5000 0.0000 0.5000
Pt1 0.0000 0.5000 0.5000
Zn1 0.0000 0.0000 0.0000